Compound: PuPa2CoO8
Source: Alexandria via LeMat-Bulk
Functional: PBE+U
Structure: relaxed

Results
**Electronic total energy**: -9.084 eV/atom
**Calculated density**: 10.1 g/cm³

```
data_PuPa2CoO8
_chemical_formula_sum 'Pu1 Pa2 Co1 O8'
_cell_length_a 5.1657
_cell_length_b 5.1657
_cell_length_c 6.3280
_cell_angle_alpha 90.00
_cell_angle_beta 90.00
_cell_angle_gamma 120.00
_space_group_name_H-M_alt 'P -3 m 1'
_space_group_IT_number 164
_space_group_name_Hall '-P 3 2"'
loop_
_atom_site_label
_atom_site_type_symbol
_atom_site_fract_x
_atom_site_fract_y
_atom_site_fract_z
Pu1 Pu 0.0000 0.0000 0.0000
Pa1 Pa 0.3333 0.6667 0.3663
Co1 Co 0.0000 0.0000 0.5000
O1 O 0.1672 0.3344 0.6742
O2 O 0.3333 0.6667 0.0641
```